Density functional theory data (PBE-GGA) for an optimized crystal structure of Li3Pa6Se14.

```
data_Li3Pa6Se14
_chemical_formula_sum 'Li3 Pa6 Se14'
_space_group_name_H-M_alt 'P 3'
_space_group_IT_number 143
_cell_length_a 10.1654
_cell_length_b 10.1654
_cell_length_c 5.9881
_cell_angle_alpha 90.00
_cell_angle_beta 90.00
_cell_angle_gamma 120.00
loop_
_space_group_symop_operation_xyz
'x,y,z'
'-y,x-y,z'
'-x+y,-x,z'
loop_
_atom_site_label
_atom_site_type_symbol
_atom_site_fract_x
_atom_site_fract_y
_atom_site_fract_z
Li1 Li 0.0000 0.0000 0.0000
Li2 Li 0.3333 0.6667 0.4987
Li3 Li 0.6667 0.3333 0.3628
Pa1 Pa 0.0394 0.5621 0.0980
Pa2 Pa 0.2939 0.1039 0.5987
Se1 Se 0.0000 0.0000 0.3960
Se2 Se 0.0976 0.8417 0.8435
Se3 Se 0.1755 0.4110 0.3427
Se4 Se 0.3333 0.6667 0.8945
Se5 Se 0.4135 0.1825 0.1197
Se6 Se 0.5150 0.4339 0.6136
```

Summary:
E_form (uncorrected): -1.3080 eV per atom
total moment: 0.220 μB/atom
volume: 23.30 Å³ per atom